No. 1
DFT (PBE) results for IrF after structural relaxation.

```
32
Lattice="-5.368 0.682 1.053 -2.028 -8.812 -4.633 0.991 -4.371 7.880" Properties=species:S:1:pos:R:3 pbc="T T T"
Ir -2.842 -8.517 -1.760
Ir -5.031 -10.362 2.707
Ir -3.989 -9.671 0.352
Ir -4.058 -1.799 2.120
Ir -3.925 -5.051 -2.308
Ir -1.801 -7.826 -4.115
Ir -0.745 -7.578 1.105
Ir -2.415 -2.831 3.948
Ir -3.471 -3.080 -1.272
Ir -0.227 -0.986 -0.518
Ir -4.512 -3.771 1.083
Ir -0.879 -4.325 5.533
Ir -0.292 -5.606 2.142
Ir -4.577 -8.391 3.743
Ir -1.333 -6.297 4.497
Ir -2.388 -6.546 -0.723
F -1.767 -2.395 -0.242
F -2.519 -0.390 1.843
F -1.859 -3.300 7.090
F -3.624 -5.701 6.858
F -5.134 -7.921 0.602
F -0.188 -8.047 4.247
F -5.465 -6.460 -2.032
F -0.848 -5.137 -1.000
F -2.285 -8.987 1.382
F -1.436 -3.856 2.392
F -3.037 -6.981 3.467
F 0.330 -1.455 2.623
F -3.368 -5.521 0.833
F -1.954 -10.448 4.015
F 0.661 -2.916 5.257
F -3.955 -4.240 4.225
```

Calculated values
Total moment, μB/atom: 0.001
ρ, g cm⁻³: 11.05
Energy, eV/cell: -171.62
Offset from the most stable computed form, meV per atom: 586
Formation energy (no corrections), eV per atom: 0.00
Space group: Fddd, No. 70


No. 2
DFT (PBE) results for Tb2Nd2Sm4Tm after structural relaxation.

```
9
Lattice="3.645 0.000 0.000 -1.822 9.419 -0.538 0.000 -3.678 8.951" Properties=species:S:1:pos:R:3 pbc="T T T"
Tb 0.000 0.329 5.800
Tb 1.822 5.412 2.614
Nd 1.822 -0.559 8.757
Nd 0.000 6.300 -0.343
Sm 1.822 -0.873 2.958
Sm 0.000 2.270 2.786
Sm 0.000 6.615 5.455
Sm 1.822 3.471 5.628
Tm 0.000 0.000 0.000
```

Calculated values
Total moment, μB/atom: 0.000
ρ, g cm⁻³: 7.62
Energy, eV/cell: -42.08
Space group: C2/m, No. 12


No. 3
DFT (PBE) results for SrBePPt after structural relaxation.

```
8
Lattice="3.783 0.000 0.000 0.000 3.783 0.000 0.000 0.000 10.859" Properties=species:S:1:pos:R:3 pbc="T T T"
Pt 0.946 2.837 5.429
Pt 2.837 0.946 5.429
Sr 2.837 2.837 2.964
Sr 0.946 0.946 7.895
Be 0.946 2.837 0.000
Be 2.837 0.946 0.000
P 0.946 0.946 1.241
P 2.837 2.837 9.617
```

Calculated values
Total moment, μB/atom: 0.000
ρ, g cm⁻³: 6.90
Energy, eV/cell: -39.10
Space group: P4/nmm, No. 129


No. 4
DFT (PBE) results for ZrCu2Ni after structural relaxation.

```
4
Lattice="-4.644 0.210 0.753 1.136 -0.865 -4.487 -0.041 -2.807 0.531" Properties=species:S:1:pos:R:3 pbc="T T T"
Cu -1.754 -0.328 -1.867
Cu 0.000 0.000 0.000
Zr 0.548 -1.836 -1.978
Ni -2.342 -1.299 0.642
```

Calculated values
Total moment, μB/atom: 0.000
ρ, g cm⁻³: 7.92
Energy, eV/cell: -22.26
Space group: Cmmm, No. 65


No. 5
DFT (PBE) results for Tb3Au after structural relaxation.

```
4
Lattice="3.690 0.000 0.000 0.000 3.614 0.000 0.000 0.000 9.300" Properties=species:S:1:pos:R:3 pbc="T T T"
Tb 1.845 1.807 1.299
Tb 0.000 1.807 4.349
Tb 1.845 0.000 6.834
Au 0.000 0.000 9.218
```

Calculated values
Total moment, μB/atom: 0.000
ρ, g cm⁻³: 9.02
Energy, eV/cell: -18.00
Space group: Pmm2, No. 25


No. 6
DFT (PBE) results for K2HF2 after structural relaxation.

```
10
Lattice="-1.830 -3.010 -0.648 5.746 -3.754 1.205 -0.827 1.068 7.273" Properties=species:S:1:pos:R:3 pbc="T T T"
F 5.167 -3.843 3.252
F 0.670 -3.648 5.154
F 1.708 -3.501 1.537
F -1.367 -0.399 5.717
K 1.775 -4.785 7.310
K -1.138 -2.270 3.860
K 2.924 -2.574 3.696
K 1.443 -0.996 0.547
H 1.415 -2.074 5.638
H 4.175 -5.255 2.716
```

Calculated values
Total moment, μB/atom: 0.030
ρ, g cm⁻³: 2.17
Energy, eV/cell: -34.81
Space group: Cmc2_1, No. 36